No. 1
VASP calculation (PBE-GGA) on a relaxed TaRu2Rh crystal.

Lattice parameters (Å, degrees): 4.4323 4.4323 4.4323 60.00 60.00 60.00
Closest atoms and distances in Å follow each position.
Positions (direct):
Ta  0.0000  0.0000  0.0000  4 Ru 2.71, 4 Rh 2.71
Ru  0.5000  0.5000  0.5000  4 Ru 2.71, 4 Rh 2.71
Ru  0.7500  0.7500  0.7500  4 Ta 2.71, 4 Ru 2.71
Rh  0.2500  0.2500  0.2500  4 Ta 2.71, 4 Ru 2.71

Symmetry ... F-43m, No. 216
Energy relative to the elements ... 0.076 eV/atom
ΔE to the lowest computed polymorph ... 410 meV per atom

No. 2
VASP calculation (PBE-GGA) on a relaxed BaMg3Ag crystal.

Lattice parameters (Å, degrees): 7.3495 7.3495 6.0748 90.00 90.00 120.00
Closest atoms and distances in Å follow each position.
Positions (direct):
Ba  0.3333  0.6667  0.2500  12 Mg 3.58-3.68
Ba  0.6667  0.3333  0.7500  12 Mg 3.58-3.68
Mg  0.1848  0.3697  0.7500  2 Ag 2.80
Mg  0.1848  0.8152  0.7500  2 Ag 2.80
Mg  0.3697  0.1848  0.2500  2 Ag 2.80
Mg  0.6303  0.8152  0.7500  2 Ag 2.80
Mg  0.8152  0.1848  0.2500  2 Ag 2.80
Mg  0.8152  0.6303  0.2500  2 Ag 2.80
Ag  0.0000  0.0000  0.0000  6 Mg 2.80, 2 Ag 3.04
Ag  0.0000  0.0000  0.5000  6 Mg 2.80, 2 Ag 3.04

Symmetry ... P6_3/mmc, No. 194
Energy relative to the elements ... -0.088 eV/atom
ΔE to the lowest computed polymorph ... 32 meV per atom

No. 3
VASP calculation (PBE-GGA) on a relaxed K2HoF6 crystal.

Lattice parameters (Å, degrees): 7.1387 7.1387 3.9862 102.81 102.81 52.69
Closest atoms and distances in Å follow each position.
Positions (direct):
K  0.1690  0.1690  0.1629  8 F 2.69-2.84
K  0.8310  0.8310  0.8371  8 F 2.69-2.84
Ho  0.5000  0.5000  0.5000  8 F 2.23-2.36
F  0.1407  0.5789  0.3592  1 Ho 2.23
F  0.3020  0.6980  0.0000  2 Ho 2.36, 3 F 2.51-2.56
F  0.4211  0.8593  0.6408  1 Ho 2.23
F  0.5789  0.1407  0.3592  1 Ho 2.23
F  0.6980  0.3020  0.0000  2 Ho 2.36, 3 F 2.51-2.56
F  0.8593  0.4211  0.6408  1 Ho 2.23

Formation energy (no corrections) ... -298 kJ/mol of atoms
Symmetry ... C2/m, No. 12

No. 4
VASP calculation (PBE-GGA) on a relaxed BeVFeNi crystal.

Lattice parameters (Å, degrees): 3.9099 3.9099 3.9099 60.00 60.00 60.00
Closest atoms and distances in Å follow each position.
Positions (direct):
Be  0.0000  0.0000  0.0000  4 Fe 2.39, 4 Ni 2.39
V  0.5000  0.5000  0.5000  4 Fe 2.39, 4 Ni 2.39
Fe  0.7500  0.7500  0.7500  4 V 2.39, 4 Be 2.39
Ni  0.2500  0.2500  0.2500  4 Be 2.39, 4 V 2.39

Symmetry ... F-43m, No. 216
Energy relative to the elements ... -0.207 eV/atom

No. 5
VASP calculation (PBE-GGA) on a relaxed Sm6BiSb3 crystal.

Lattice parameters (Å, degrees): 9.4373 9.4373 7.8399 90.00 90.00 106.24
Closest atoms and distances in Å follow each position.
Positions (direct):
Sm  0.0003  0.9997  0.0000  4 Sb 3.15-3.33, 2 Bi 3.22-3.27
Sm  0.9997  0.0003  0.5000  4 Sb 3.15-3.33, 2 Bi 3.22-3.27
Sm  0.0858  0.5350  0.4947  3 Sb 3.14-3.20, 1 Bi 3.30
Sm  0.2505  0.7495  0.8726  1 Bi 3.16, 3 Sb 3.24-3.32
Sm  0.2792  0.3735  0.9015  4 Sb 3.10-3.17
Sm  0.3735  0.2792  0.4015  4 Sb 3.10-3.17
Sm  0.4650  0.9142  0.4947  3 Sb 3.14-3.20, 1 Bi 3.30
Sm  0.5350  0.0858  0.9947  3 Sb 3.14-3.20, 1 Bi 3.30
Sm  0.6265  0.7208  0.9015  4 Sb 3.10-3.17
Sm  0.7208  0.6265  0.4015  4 Sb 3.10-3.17
Sm  0.7495  0.2505  0.3726  1 Bi 3.16, 3 Sb 3.24-3.32
Sm  0.9142  0.4650  0.9947  3 Sb 3.14-3.20, 1 Bi 3.30
Bi  0.1714  0.8286  0.2451  5 Sm 3.16-3.30
Bi  0.8286  0.1714  0.7451  5 Sm 3.16-3.30
Sb  0.0792  0.2839  0.2302  7 Sm 3.10-3.33
Sb  0.2839  0.0792  0.7302  7 Sm 3.10-3.33
Sb  0.4175  0.5825  0.5968  7 Sm 3.14-3.32
Sb  0.5825  0.4175  0.0968  7 Sm 3.14-3.32
Sb  0.7161  0.9208  0.2302  7 Sm 3.10-3.33
Sb  0.9208  0.7161  0.7302  7 Sm 3.10-3.33

Formation energy (no corrections) ... -74 kJ/mol of atoms
Symmetry ... Cmc2_1, No. 36

No. 6
VASP calculation (PBE-GGA) on a relaxed Mg2NiPt crystal.

Lattice parameters (Å, degrees): 8.6250 8.6250 8.6250 19.45 19.45 19.45
Closest atoms and distances in Å follow each position.
Positions (direct):
Mg  0.2467  0.2467  0.2467  3 Ni 2.64, 3 Pt 2.77, 6 Mg 2.91
Mg  0.7533  0.7533  0.7533  3 Ni 2.64, 3 Pt 2.77, 6 Mg 2.91
Ni  0.5000  0.5000  0.5000  6 Mg 2.64, 6 Ni 2.91
Pt  0.0000  0.0000  0.0000  6 Mg 2.77, 6 Pt 2.91

Symmetry ... R-3m, No. 166
Energy relative to the elements ... -0.269 eV/atom

Number 3 is which compound? K2HoF6

Copy entry 4 word for word.
VASP calculation (PBE-GGA) on a relaxed BeVFeNi crystal.

Lattice parameters (Å, degrees): 3.9099 3.9099 3.9099 60.00 60.00 60.00
Closest atoms and distances in Å follow each position.
Positions (direct):
Be  0.0000  0.0000  0.0000  4 Fe 2.39, 4 Ni 2.39
V  0.5000  0.5000  0.5000  4 Fe 2.39, 4 Ni 2.39
Fe  0.7500  0.7500  0.7500  4 V 2.39, 4 Be 2.39
Ni  0.2500  0.2500  0.2500  4 Be 2.39, 4 V 2.39

Symmetry ... F-43m, No. 216
Energy relative to the elements ... -0.207 eV/atom